This record from Alexandria describes crystalline VCdSnF6 at its relaxed geometry. The functional is PBE+U.

a b c (Å): 5.808 5.808 9.892
angles (deg): 90.00 90.00 120.00
Fractional positions:
V (0.667, 0.333, 0.250)
V (0.333, 0.667, 0.750)
Cd (0.333, 0.667, 0.250)
Cd (0.667, 0.333, 0.750)
Sn (0.000, 0.000, 0.000)
Sn (0.000, 0.000, 0.500)
F (0.660, 0.642, 0.136)
F (0.981, 0.340, 0.136)
F (0.340, 0.981, 0.636)
F (0.019, 0.660, 0.864)
F (0.358, 0.340, 0.364)
F (0.981, 0.642, 0.364)
F (0.642, 0.981, 0.864)
F (0.660, 0.019, 0.364)
F (0.019, 0.358, 0.636)
F (0.358, 0.019, 0.136)
F (0.642, 0.660, 0.636)
F (0.340, 0.358, 0.864)

## Properties
Electronic total energy: -89.6 eV per cell